# 1
Here is a geometry-optimized Ce6BiIr2 structure from Alexandria. Energies are from PBE.

The space group is Ibam (No. 72) and the conventional cell measures 6.944, 10.063 and 13.592 Å, with angles of 90.00, 90.00 and 90.00 degrees. The asymmetric unit holds Ce at (0.131, 0.188, 0.172), Ce at (0.239, 0.448, 0.000), Bi at (0.000, 0.500, 0.250) and Ir at (0.091, 0.292, 0.500).

As for the magnetization: 0.59 μB per formula unit. The mass density is 10.03 g cm⁻³. Its energy relative to the elements is -359 kJ/mol of formula units. The value obtained for the excess energy over the best structure of this formula in the dataset is 11.71 kJ per mole of atoms.

=====

# 2
Here is a geometry-optimized MgMo2Ru structure from Alexandria. Energies are from PBE.

The space group is P4/mmm (No. 123) and the conventional cell measures 2.805, 2.805 and 8.241 Å, with angles of 90.00, 90.00 and 90.00 degrees. The asymmetric unit holds Mg at (0.000, 0.000, 0.000), Mo at (0.500, 0.500, 0.275) and Ru at (0.000, 0.000, 0.500).

As for the magnetization: 0.00 μB per formula unit. The mass density is 8.12 g cm⁻³. Its energy relative to the elements is 92 kJ/mol of formula units.

=====

# 3
Here is a geometry-optimized Sc2CoRe3 structure from Alexandria. Energies are from PBE.

The space group is R-3m (No. 166, hexagonal axes) and the conventional cell measures 5.1602, 5.1602 and 12.9221 Å, with angles of 90.00, 90.00 and 120.00 degrees. The asymmetric unit holds Sc at (0.0000, 0.0000, 0.1252), Co at (0.0000, 0.0000, 0.5000) and Re at (0.0000, 0.5000, 0.0000).

As for the magnetization: 1.25 μB per formula unit. The mass density is 11.83 g cm⁻³. Its energy relative to the elements is -168 kJ/mol of formula units.

=====

# 4
Here is a geometry-optimized AlCrIn2 structure from Alexandria. Energies are from PBE.

The space group is P2/m (No. 10) and the conventional cell measures 3.143, 5.050 and 5.196 Å, with angles of 90.00, 93.88 and 90.00 degrees. The asymmetric unit holds Al at (0.000, 0.000, 0.000), Cr at (0.500, 0.000, 0.500) and In at (0.224, 0.500, 0.257).

As for the magnetization: 3.29 μB per formula unit. The mass density is 6.23 g cm⁻³. Its energy relative to the elements is 142 kJ/mol of formula units.

=====

# 5
Here is a geometry-optimized Ca4Bi2O structure from Alexandria. Energies are from PBE.

The space group is P2_1/m (No. 11) and the conventional cell measures 6.664, 7.048 and 9.441 Å, with angles of 90.00, 110.34 and 90.00 degrees. The asymmetric unit holds Ca at (0.178, 0.250, 0.039), Ca at (0.240, 0.011, 0.728), Ca at (0.266, 0.750, 0.340), Bi at (0.232, 0.250, 0.414), Bi at (0.337, 0.750, 0.028) and O at (0.078, 0.250, 0.786).

As for the magnetization: 0.00 μB per formula unit. Its energy relative to the elements, uncorrected is -1.445 eV/atom. The mass density is 4.75 g cm⁻³. The value obtained for the excess energy over the best structure of this formula in the dataset is 6.05 kJ per mole of atoms.

=====

# 6
Here is a geometry-optimized Cs2CdI structure from Alexandria. Energies are from PBE.

The space group is P4/mmm (No. 123) and the conventional cell measures 4.721, 4.721 and 9.464 Å, with angles of 90.00, 90.00 and 90.00 degrees. The asymmetric unit holds Cs at (0.000, 0.000, 0.236), Cd at (0.500, 0.500, 0.500) and I at (0.500, 0.500, 0.000).

As for the magnetization: 0.00 μB per formula unit. Its energy relative to the elements, uncorrected is -0.708 eV/atom. The mass density is 3.98 g cm⁻³. The value obtained for the excess energy over the best structure of this formula in the dataset is 6.89 kJ per mole of atoms.

=====

# 7
Here is a geometry-optimized Ac2Zn2Pd5 structure from Alexandria. Energies are from PBE.

The space group is P4/mmm (No. 123) and the conventional cell measures 4.374, 4.374 and 9.543 Å, with angles of 90.00, 90.00 and 90.00 degrees. The asymmetric unit holds Ac at (0.000, 0.000, 0.000), Ac at (0.000, 0.000, 0.500), Zn at (0.500, 0.500, 0.135), Pd at (0.000, 0.500, 0.273) and Pd at (0.500, 0.500, 0.500).

As for the magnetization: 0.00 μB per formula unit. The mass density is 10.16 g cm⁻³. Its energy relative to the elements is -580 kJ/mol of formula units.

=====

# 8
Here is a geometry-optimized Ca8GaHg2 structure from Alexandria. Energies are from PBE.

The space group is C2/m (No. 12) and the conventional cell measures 18.844, 5.342 and 7.527 Å, with angles of 90.00, 109.46 and 90.00 degrees. The asymmetric unit holds Ca at (0.029, 0.000, 0.295), Ca at (0.094, 0.500, 0.944), Ca at (0.166, 0.500, 0.461), Ca at (0.202, 0.000, 0.807), Ga at (0.000, 0.500, 0.500) and Hg at (0.180, 0.000, 0.201).

As for the magnetization: 0.00 μB per formula unit. The mass density is 3.68 g cm⁻³. Its energy relative to the elements is -325 kJ/mol of formula units. The value obtained for the excess energy over the best structure of this formula in the dataset is 0.00 kJ per mole of atoms.